Record 1
Entry from Alexandria: a geometry-optimized YHo2S3 structure (PBE).

a b c (Å): 3.9072 5.4979 6.7386
angles (deg): 114.08 106.85 90.00
With the nearest neighbours (Å) after each atom.
Sites, in units of the cell vectors:
S: 0.1686 0.1686 0.3373  4 Ho 2.75, 2 Y 2.77
Y: 0.5000 0.0000 0.0000  6 S 2.75-2.77
S: 0.8314 0.8314 0.6627  4 Ho 2.75, 2 Y 2.77
Ho: 0.1655 0.6655 0.3309  6 S 2.75
Ho: 0.8345 0.3345 0.6691  6 S 2.75
S: 0.5000 0.5000 0.0000  4 Ho 2.75, 2 Y 2.75

Magnetic moment = 0.00 μB/cell
Space group = Immm
Total DFT energy (no corrections) = -39.88 eV per cell

---

Record 2
Entry from Alexandria: a geometry-optimized ScBe2CoGe structure (PBE).

a b c (Å): 4.5414 4.8824 4.5414
angles (deg): 90.00 90.00 90.00
With the nearest neighbours (Å) after each atom.
Sites, in units of the cell vectors:
Be: 0.0000 0.0000 0.5000  2 Sc 2.27
Ge: 0.0000 0.5000 0.0000  2 Sc 2.44
Sc: 0.0000 0.0000 0.0000  4 Be 2.27, 2 Ge 2.44
Co: 0.5000 0.5000 0.5000  4 Ge 3.21, 8 Be 3.33
Be: 0.5000 0.0000 0.0000  2 Sc 2.27

Magnetic moment = 0.00 μB/cell
E_form = 1.89 eV/atom
Space group = P4/mmm
Total DFT energy (no corrections) = -16.07 eV per cell